Compound: SmTmCo
Source: OQMD
Functional: PBE
Structure: relaxed

Results
The value obtained for the calculated formation energy is 0.76 eV per atom.

```
SmTmCo
1.0
0.000 3.298 3.298
3.298 0.000 3.298
3.298 3.298 0.000
Sm Tm Co
1 1 1
Direct
0.000 0.000 0.000
0.750 0.750 0.750
0.500 0.500 0.500
```

Compound: LuGeTe3Pb
Source: OQMD
Functional: PBE
Structure: relaxed

Results
For the total DFT energy (no corrections), the calculation gives -4.188 eV per atom.

```
LuGeTe3Pb
1.0
2.175 -7.439 0.000
2.175 7.439 0.000
0.000 0.000 11.235
Lu Ge Te Pb
2 2 6 2
Direct
0.000 0.000 0.000
0.000 0.000 0.500
0.461 0.539 0.750
0.539 0.461 0.250
0.095 0.905 0.750
0.356 0.644 0.533
0.356 0.644 0.967
0.644 0.356 0.033
0.644 0.356 0.467
0.905 0.095 0.250
0.232 0.768 0.250
0.768 0.232 0.750
```

Compound: NdScPO
Source: OQMD
Functional: PBE
Structure: relaxed

Results
For the total DFT energy (no corrections), the calculation gives -7.433 eV per atom.

```
NdScPO
1.0
4.211 0.000 0.000
0.000 4.211 0.000
0.000 0.000 8.771
Nd Sc P O
2 2 2 2
Direct
0.250 0.250 0.123
0.750 0.750 0.877
0.250 0.750 0.500
0.750 0.250 0.500
0.250 0.250 0.673
0.750 0.750 0.327
0.250 0.750 0.000
0.750 0.250 0.000
```

Compound: BiAsPtO
Source: OQMD
Functional: PBE
Structure: relaxed

Results
For the total DFT energy (no corrections), the calculation gives -5.165 eV per atom.

```
BiAsPtO
1.0
3.504 0.000 0.000
0.000 7.703 0.000
0.000 0.000 5.950
Bi As Pt O
2 2 2 2
Direct
0.000 0.210 0.000
0.000 0.790 0.500
0.000 0.403 0.472
0.000 0.597 0.972
0.500 0.207 0.592
0.500 0.793 0.092
0.500 0.065 0.168
0.500 0.935 0.668
```